1.
First-principles (PBE-GGA) data for a relaxed ScTaCo2 crystal, as listed in Alexandria via LeMat-Bulk.

Computed properties:
DOS at the Fermi energy	1.172	states/eV per atom
symmetry	P4/mmm, No. 123
formation energy	-265	meV per atom

Unit cell a=3.064 b=3.064 c=6.379 alpha=90.00 beta=90.00 gamma=90.00
Fractional coordinates of all 4 atoms:
Sc: 0.000 0.500 0.500
Ta: 0.000 0.500 0.000
Co: 0.500 0.000 0.222
Co: 0.500 0.000 0.778

---

2.
First-principles (PBE-GGA) data for a relaxed AlZn4Ni5 crystal, as listed in Alexandria via LeMat-Bulk.

Computed properties:
DOS at the Fermi energy	0.300	states/eV per atom
symmetry	P4/mmm, No. 123
formation energy	-331	meV per atom

Unit cell a=2.721 b=2.721 c=16.356 alpha=90.00 beta=90.00 gamma=90.00
Fractional coordinates of all 10 atoms:
Al: 0.000 0.000 0.000
Zn: 0.000 0.000 0.199
Zn: 0.000 0.000 0.400
Zn: 0.000 0.000 0.600
Zn: 0.000 0.000 0.801
Ni: 0.500 0.500 0.095
Ni: 0.500 0.500 0.299
Ni: 0.500 0.500 0.500
Ni: 0.500 0.500 0.701
Ni: 0.500 0.500 0.905

---

3.
First-principles (PBE-GGA) data for a relaxed CaCrTc2 crystal, as listed in Alexandria via LeMat-Bulk.

Computed properties:
DOS at the Fermi energy	1.036	states/eV per atom
symmetry	Pmmm, No. 47
polymorph energy (0 for the lowest one)	0.476	eV per atom
formation energy	699	meV per atom

Unit cell a=3.129 b=4.572 c=4.596 alpha=90.00 beta=90.00 gamma=90.00
Last column: magnetic moment on the atom in μB.
Fractional coordinates of all 4 atoms:
Cr: 0.000 0.500 0.500  2.57
Ca: 0.500 0.000 0.500  0.03
Tc: 0.000 0.000 0.000  -0.17
Tc: 0.500 0.500 0.000  -0.67

---

4.
First-principles (PBE-GGA) data for a relaxed Zn3TeP crystal, as listed in Alexandria via LeMat-Bulk.

Computed properties:
DOS at the Fermi energy	0.381	states/eV per atom
symmetry	Pm-3m, No. 221
polymorph energy (0 for the lowest one)	0.000	eV per atom
E_form (uncorrected)	0.044	eV per atom

Unit cell a=4.744 b=4.744 c=4.744 alpha=90.00 beta=90.00 gamma=90.00
Fractional coordinates of all 5 atoms:
P: 0.000 0.000 0.000
Zn: 0.000 0.500 0.000
Zn: 0.000 0.000 0.500
Zn: 0.500 0.000 0.000
Te: 0.500 0.500 0.500

---

- DOS at the Fermi energy of number 4 (Zn3TeP)?
  0.381 states/eV per atom